[1]
Material: Li2TlVCl6
Method: DFT, PBE-GGA
State: optimized geometry

Cell: 6.3231 6.3231 22.6543 Å, 90.00 90.00 120.00°
Space group R-3 (No. 148, hexagonal axes)
Inequivalent atoms, fractional coordinates:
1 Li 0.0000 0.0000 0.1708 x6
2 Tl 0.0000 0.0000 0.0000 x3
3 V 0.0000 0.0000 0.5000 x3
4 Cl 0.9999 0.3117 0.5603 x18

Calculated values
Formation energy from raw total energies in kJ/mol of formula units: -1372


[2]
Material: Sm3GeSe2
Method: DFT, PBE-GGA
State: optimized geometry

Cell: 4.2233 5.9366 12.6205 Å, 90.00 90.00 90.00°
Space group Immm (No. 71)
Inequivalent atoms, fractional coordinates:
1 Sm 0.0000 0.0000 0.0000 x2
2 Sm 0.0000 0.0000 0.3396 x4
3 Ge 0.0000 0.5000 0.0000 x2
4 Se 0.0000 0.5000 0.3322 x4

Calculated values
Formation energy from raw total energies in kJ/mol of formula units: -923


[3]
Material: TbY3Er6Sc2
Method: DFT, PBE-GGA
State: optimized geometry

Cell: 6.0455 10.4591 11.5586 Å, 90.00 100.01 90.00°
Space group C2/m (No. 12)
Inequivalent atoms, fractional coordinates:
1 Tb 0.0000 0.0000 0.0000 x2
2 Y 0.0000 0.1670 0.5000 x4
3 Y 0.0000 0.5000 0.5000 x2
4 Er 0.2463 0.5000 0.2437 x4
5 Er 0.2497 0.1677 0.2437 x8
6 Sc 0.0000 0.3333 0.0000 x4

Calculated values
Calculated formation energy in eV per formula unit: 0.49


[4]
Material: Fe2AgCl
Method: DFT, PBE-GGA
State: optimized geometry

Cell: 3.0316 4.9041 8.4307 Å, 90.00 90.00 90.00°
Space group Cmmm (No. 65)
Inequivalent atoms, fractional coordinates:
1 Fe 0.0000 0.0000 0.2335 x4
2 Ag 0.0000 0.5000 0.5000 x2
3 Cl 0.0000 0.5000 0.0000 x2

Calculated values
Polymorph energy (0 for the lowest one) in meV per atom: 278
Formation energy from raw total energies in kJ/mol of formula units: 169


[5]
Material: NaHBr3
Method: DFT, PBE-GGA
State: optimized geometry

Cell: 4.8760 4.8760 4.8760 Å, 90.00 90.00 90.00°
Space group Pm-3m (No. 221)
Inequivalent atoms, fractional coordinates:
1 Na 0.0000 0.0000 0.0000 x1
2 H 0.5000 0.5000 0.5000 x1
3 Br 0.0000 0.5000 0.5000 x3

Calculated values
Polymorph energy (0 for the lowest one) in meV per atom: 638


[6]
Material: CsTiCoSe3
Method: DFT, PBE-GGA
State: optimized geometry

Cell: 9.3821 3.7163 9.9688 Å, 90.00 117.16 90.00°
Space group P2_1/m (No. 11)
Inequivalent atoms, fractional coordinates:
1 Cs 0.0144 0.2500 0.2522 x2
2 Ti 0.4733 0.2500 0.1657 x2
3 Co 0.4835 0.7500 0.3994 x2
4 Se 0.2748 0.7500 0.1468 x2
5 Se 0.3421 0.7500 0.5485 x2
6 Se 0.3451 0.2500 0.8650 x2

Calculated values
Formation energy from raw total energies in kJ/mol of formula units: -546


[7]
Material: Pm4GePt
Method: DFT, PBE-GGA
State: optimized geometry

Cell: 7.0081 7.0081 7.2530 Å, 90.00 90.07 90.00°
Space group C2/m (No. 12)
Inequivalent atoms, fractional coordinates:
1 Pm 0.2497 0.2498 0.2432 x8
2 Ge 0.0000 0.0000 0.5000 x2
3 Pt 0.0000 0.5000 0.0000 x2

Calculated values
Calculated formation energy in eV per formula unit: -3.65


[8]
Material: Sm2DyEr6
Method: DFT, PBE-GGA
State: optimized geometry

Cell: 6.9245 6.9245 22.7557 Å, 90.00 90.00 120.00°
Space group R3m (No. 160, hexagonal axes)
Inequivalent atoms, fractional coordinates:
1 Sm 0.0000 0.0000 0.0000 x3
2 Sm 0.0000 0.0000 0.1627 x3
3 Dy 0.0000 0.0000 0.7511 x3
4 Er 0.0054 0.5027 0.9737 x9
5 Er 0.1698 0.3396 0.5277 x9

Calculated values
Polymorph energy (0 for the lowest one) in meV per atom: 278
Calculated formation energy in eV per formula unit: 3.48


no.,total DFT energy (no corrections) (eV per cell),DOS(E_F) (states/eV per atom)
1,-121.8,1.0715
2,-70.6,0.3263
3,-127.1,1.5205
4,-39.7,0.8852
5,-10.0,1.1626
6,-63.9,0.3490
7,-66.6,1.1618
8,-113.8,1.5133